[1]
First-principles (PBE) data for a relaxed HgN2Cl crystal, as listed in Alexandria.

a = 6.5712 Å, b = 6.5712 Å, c = 6.5712 Å
α = 137.60°, β = 137.60°, γ = 61.51°
Last column: nearest neighbours and their distance in Å.
Sites, in units of the cell vectors:
Hg (0.0000, 0.0000, 0.0000)  4 N 2.35
Hg (0.7500, 0.2500, 0.5000)  4 N 2.35
N (0.1820, 0.6250, 0.0570)  2 Cl 2.06
N (0.3750, 0.4320, 0.5570)  2 Cl 2.06
N (0.5680, 0.1250, 0.9430)  2 Cl 2.06
N (0.8750, 0.8180, 0.4430)  2 Cl 2.06
Cl (0.2500, 0.7500, 0.5000)  4 N 2.06
Cl (0.5000, 0.5000, 0.0000)  4 N 2.06

Computed properties:
formation energy (no corrections)	2.02	eV/atom
D(E_F)	1.894	states/eV/cell
total DFT energy (no corrections)	-2.679	eV/atom
total magnetization	0.00	μB/cell



[2]
First-principles (PBE) data for a relaxed HgN2Cl crystal, as listed in Alexandria.

a = 6.3734 Å, b = 6.3734 Å, c = 6.3734 Å
α = 31.79°, β = 31.79°, γ = 31.79°
Last column: nearest neighbours and their distance in Å.
Sites, in units of the cell vectors:
Hg (0.0000, 0.0000, 0.0000)  2 N 2.08
N (0.1149, 0.1149, 0.1149)  1 Hg 2.08, 3 Cl 2.22
N (0.8851, 0.8851, 0.8851)  1 Hg 2.08, 3 Cl 2.22
Cl (0.5000, 0.5000, 0.5000)  6 N 2.22

Computed properties:
formation energy (no corrections)	2.06	eV/atom
D(E_F)	1.305	states/eV/cell
total DFT energy (no corrections)	-2.638	eV/atom
total magnetization	0.00	μB/cell



Copy entry 1 word for word.
First-principles (PBE) data for a relaxed HgN2Cl crystal, as listed in Alexandria.

a = 6.5712 Å, b = 6.5712 Å, c = 6.5712 Å
α = 137.60°, β = 137.60°, γ = 61.51°
Last column: nearest neighbours and their distance in Å.
Sites, in units of the cell vectors:
Hg (0.0000, 0.0000, 0.0000)  4 N 2.35
Hg (0.7500, 0.2500, 0.5000)  4 N 2.35
N (0.1820, 0.6250, 0.0570)  2 Cl 2.06
N (0.3750, 0.4320, 0.5570)  2 Cl 2.06
N (0.5680, 0.1250, 0.9430)  2 Cl 2.06
N (0.8750, 0.8180, 0.4430)  2 Cl 2.06
Cl (0.2500, 0.7500, 0.5000)  4 N 2.06
Cl (0.5000, 0.5000, 0.0000)  4 N 2.06

Computed properties:
formation energy (no corrections)	2.02	eV/atom
D(E_F)	1.894	states/eV/cell
total DFT energy (no corrections)	-2.679	eV/atom
total magnetization	0.00	μB/cell



total magnetization of number 2 (HgN2Cl)?
0.00 μB/cell